[1]
Crystalline Mg2NpIr9 at its relaxed geometry, computed with PBE-GGA.

Cell: 9.120 9.120 9.120 Å, 33.40 33.40 33.40°
Atoms (fractional coordinates):
Mg 0.142 0.142 0.142
Mg 0.858 0.858 0.858
Np 0.000 0.000 0.000
Ir 0.080 0.586 0.586
Ir 0.335 0.335 0.335
Ir 0.414 0.414 0.920
Ir 0.414 0.920 0.414
Ir 0.500 0.500 0.500
Ir 0.586 0.080 0.586
Ir 0.586 0.586 0.080
Ir 0.665 0.665 0.665
Ir 0.920 0.414 0.414

## Properties
uncorrected energy: -0.2996 hartree per atom
ρ: 16352 kg/m3

---

[2]
Crystalline Mg3NpIr4 at its relaxed geometry, computed with PBE-GGA.

Cell: 4.548 4.548 6.345 Å, 90.00 90.00 90.00°
Atoms (fractional coordinates):
Mg 0.000 0.000 0.000
Mg 0.000 0.000 0.500
Mg 0.500 0.500 0.000
Np 0.500 0.500 0.500
Ir 0.000 0.500 0.247
Ir 0.000 0.500 0.753
Ir 0.500 0.000 0.247
Ir 0.500 0.000 0.753

## Properties
uncorrected energy: -0.2583 hartree per atom
ρ: 13652 kg/m3

---

[3]
Crystalline Mg5NpIr6 at its relaxed geometry, computed with PBE-GGA.

Cell: 7.074 7.074 6.346 Å, 90.00 90.00 142.92°
Atoms (fractional coordinates):
Mg 0.000 0.000 0.000
Mg 0.327 0.673 0.500
Mg 0.332 0.668 0.000
Mg 0.668 0.332 0.000
Mg 0.673 0.327 0.500
Np 0.000 0.000 0.500
Ir 0.164 0.836 0.250
Ir 0.164 0.836 0.750
Ir 0.500 0.500 0.248
Ir 0.500 0.500 0.752
Ir 0.836 0.164 0.250
Ir 0.836 0.164 0.750

## Properties
uncorrected energy: -0.2410 hartree per atom
ρ: 13111 kg/m3

---

[4]
Crystalline MgNpIrOs at its relaxed geometry, computed with PBE-GGA.

Cell: 4.630 4.630 4.630 Å, 60.00 60.00 60.00°
Atoms (fractional coordinates):
Mg 0.000 0.000 0.000
Np 0.500 0.500 0.500
Ir 0.750 0.750 0.750
Os 0.250 0.250 0.250

## Properties
uncorrected energy: -0.3222 hartree per atom
ρ: 15233 kg/m3

---

[5]
Crystalline MgNpP2Ir5 at its relaxed geometry, computed with PBE-GGA.

Cell: 3.980 3.980 10.523 Å, 90.00 90.00 90.00°
Atoms (fractional coordinates):
Mg 0.000 0.000 0.000
Np 0.000 0.000 0.500
P 0.500 0.500 0.281
P 0.500 0.500 0.719
Ir 0.000 0.500 0.177
Ir 0.000 0.500 0.823
Ir 0.500 0.000 0.177
Ir 0.500 0.000 0.823
Ir 0.500 0.500 0.500

## Properties
uncorrected energy: -0.2939 hartree per atom
ρ: 12797 kg/m3

---

[6]
Crystalline MgNpIrRh at its relaxed geometry, computed with PBE-GGA.

Cell: 4.653 4.653 4.653 Å, 60.00 60.00 60.00°
Atoms (fractional coordinates):
Mg 0.000 0.000 0.000
Np 0.500 0.500 0.500
Ir 0.750 0.750 0.750
Rh 0.250 0.250 0.250

## Properties
uncorrected energy: -0.2974 hartree per atom
ρ: 12973 kg/m3

---

[7]
Crystalline MgNp2IrRh5 at its relaxed geometry, computed with PBE-GGA.

Cell: 8.059 8.059 8.059 Å, 128.73 128.73 75.44°
Atoms (fractional coordinates):
Mg 0.250 0.250 0.000
Mg 0.750 0.750 0.000
Np 0.120 0.620 0.739
Np 0.380 0.120 0.500
Np 0.620 0.880 0.500
Np 0.880 0.380 0.261
Ir 0.250 0.750 0.500
Ir 0.750 0.250 0.500
Rh 0.000 0.000 0.000
Rh 0.083 0.126 0.500
Rh 0.126 0.626 0.043
Rh 0.374 0.417 0.500
Rh 0.417 0.917 0.043
Rh 0.500 0.500 0.000
Rh 0.583 0.083 0.957
Rh 0.626 0.583 0.500
Rh 0.874 0.374 0.957
Rh 0.917 0.874 0.500

## Properties
uncorrected energy: -0.3002 hartree per atom
ρ: 12913 kg/m3

---

[8]
Crystalline MgNpIrRu at its relaxed geometry, computed with PBE-GGA.

Cell: 4.622 4.622 4.622 Å, 60.00 60.00 60.00°
Atoms (fractional coordinates):
Mg 0.000 0.000 0.000
Np 0.500 0.500 0.500
Ir 0.750 0.750 0.750
Ru 0.250 0.250 0.250

## Properties
uncorrected energy: -0.3098 hartree per atom
ρ: 13187 kg/m3